(1)
The following is a DFT calculation (PBE-GGA) of a geometry-optimized ErPaOs structure.

Cell: 4.7607 4.7607 4.7607 Å, 60.00 60.00 60.00°
Last column: nearest neighbours and their distance in Å.
Positions (direct):
1 Er 0.0000 0.0000 0.0000  4 Os 2.92
2 Pa 0.5000 0.5000 0.5000  4 Os 2.92
3 Os 0.2500 0.2500 0.2500  4 Pa 2.92, 4 Er 2.92

Values from the calculation:
Formation enthalpy at 0 K (eV per atom): -0.057
Total moment (Bohr magnetons per cell): 0.71
Crystal system: cubic


(2)
The following is a DFT calculation (PBE-GGA) of a geometry-optimized ErOsPd structure.

Cell: 4.4841 4.4841 4.4841 Å, 60.00 60.00 60.00°
Last column: nearest neighbours and their distance in Å.
Positions (direct):
1 Er 0.0000 0.0000 0.0000  4 Os 2.75, 4 Pd 2.75
2 Os 0.7500 0.7500 0.7500  4 Er 2.75
3 Pd 0.2500 0.2500 0.2500  4 Er 2.75

Values from the calculation:
Formation enthalpy at 0 K (eV per atom): 0.695
Total moment (Bohr magnetons per cell): 0.09
Relative energy among the computed polymorphs (eV/f.u.): 1.16
Crystal system: cubic


(3)
The following is a DFT calculation (PBE-GGA) of a geometry-optimized ErOsPd structure.

Cell: 4.4713 4.4713 4.4713 Å, 60.00 60.00 60.00°
Last column: nearest neighbours and their distance in Å.
Positions (direct):
1 Er 0.0000 0.0000 0.0000  4 Pd 2.74
2 Os 0.5000 0.5000 0.5000  4 Pd 2.74
3 Pd 0.2500 0.2500 0.2500  4 Os 2.74, 4 Er 2.74

Values from the calculation:
Formation enthalpy at 0 K (eV per atom): 0.309
Total moment (Bohr magnetons per cell): 1.51
Relative energy among the computed polymorphs (eV/f.u.): 0.00
Crystal system: cubic


(4)
The following is a DFT calculation (PBE-GGA) of a geometry-optimized PmErOs structure.

Cell: 4.7352 4.7352 4.7352 Å, 60.00 60.00 60.00°
Last column: nearest neighbours and their distance in Å.
Positions (direct):
1 Pm 0.0000 0.0000 0.0000  4 Er 2.90
2 Er 0.7500 0.7500 0.7500  4 Os 2.90, 4 Pm 2.90
3 Os 0.5000 0.5000 0.5000  4 Er 2.90

Values from the calculation:
Formation enthalpy at 0 K (eV per atom): 0.677
Total moment (Bohr magnetons per cell): 0.00
Crystal system: cubic